DFT (PBE-GGA) results for a relaxed AlGaBr2 crystal.

## Properties
The space group is No. 122. The calculation puts the energy above the most stable polymorph in this dataset at 6 meV per atom. The value obtained for the magnetization is 0.00 Bohr magnetons per cell. For the uncorrected formation energy, the calculation gives -1.00 eV/f.u.

Structure (extended XYZ):
```
8
Lattice="8.0499 0.0000 0.0000 0.0000 8.0499 0.0000 4.0250 4.0250 4.0158" Properties=species:S:1:pos:R:3 pbc="T T T"
Ga 0.0000 0.0000 0.0000
Ga 8.0499 4.0250 2.0079
Br 5.9972 2.0125 1.0040
Br 2.0527 6.0374 1.0040
Br 6.0374 6.0776 3.0119
Br 10.0624 10.0222 3.0119
Al 4.0250 4.0250 0.0000
Al 4.0250 8.0499 2.0079
```